(1)
Computed, not measured: NaZn3Au10 after structural relaxation at the PBE level of DFT.

Lattice parameters (Å, degrees): 9.1302 9.1302 9.1302 60.00 60.00 60.00
Fractional coordinates of all 28 atoms:
Na1 0.2500 0.2500 0.2500
Na2 0.7500 0.7500 0.7500
Zn1 0.2275 0.2275 0.7725
Zn2 0.2275 0.7725 0.2275
Zn3 0.2275 0.7725 0.7725
Zn4 0.7725 0.2275 0.2275
Zn5 0.7725 0.2275 0.7725
Zn6 0.7725 0.7725 0.2275
Au1 0.1212 0.1212 0.1212
Au2 0.1212 0.1212 0.6365
Au3 0.1212 0.6365 0.1212
Au4 0.1555 0.5000 0.5000
Au5 0.1555 0.5000 0.8445
Au6 0.1555 0.8445 0.5000
Au7 0.3635 0.8788 0.8788
Au8 0.5000 0.1555 0.5000
Au9 0.5000 0.1555 0.8445
Au10 0.5000 0.5000 0.1555
Au11 0.5000 0.5000 0.8445
Au12 0.5000 0.8445 0.1555
Au13 0.5000 0.8445 0.5000
Au14 0.6365 0.1212 0.1212
Au15 0.8445 0.1555 0.5000
Au16 0.8445 0.5000 0.1555
Au17 0.8445 0.5000 0.5000
Au18 0.8788 0.3635 0.8788
Au19 0.8788 0.8788 0.3635
Au20 0.8788 0.8788 0.8788

Properties
calculated formation energy	-6.6	kJ/mol of atoms
VASP energy	-38.87	eV per formula unit
density	13.51	g/cm³
symmetry	No. 225

(2)
Computed, not measured: MgCuRuC after structural relaxation at the PBE level of DFT.

Lattice parameters (Å, degrees): 2.7830 6.5597 6.5597 24.89 90.00 90.00
Fractional coordinates of all 4 atoms:
Mg1 0.0000 0.0000 0.0000
Cu1 0.5000 0.6561 0.6561
Ru1 0.5000 0.3364 0.3364
C1 0.0000 0.7807 0.7807

Properties
calculated formation energy	24.3	kJ/mol of atoms
VASP energy	-23.18	eV per formula unit
energy above the most stable polymorph in this dataset	28.1	meV/atom
density	6.62	g/cm³
symmetry	No. 38

Number 1: V 538.18 Å³ per cell. Number 2: V 50.41 Å³ per cell.